1.
Entry from Alexandria via LeMat-Bulk: crystalline Na2LiCeCl6 at its relaxed geometry (GGA-PBE).

Values from the calculation:
Polymorph energy (0 for the lowest one) (meV per atom): 0
Total energy (eV per formula unit): -41.0
Magnetic moment (Bohr magnetons per cell): 2.0
Density (g/cm³): 2.6

a b c (Å): 6.822 7.177 12.184
angles (deg): 90.00 121.26 90.00
Space group P2_1/c (No. 14)
Symmetry-distinct sites (fractional):
Na  0.201  0.078  0.238 x4
Li  0.000  0.000  0.500 x2
Ce  0.500  0.000  0.000 x2
Cl  0.108  0.201  0.932 x4
Cl  0.222  0.686  0.921 x4
Cl  0.397  0.062  0.751 x4



2.
Entry from Alexandria via LeMat-Bulk: crystalline AlAgMo at its relaxed geometry (GGA-PBE).

Values from the calculation:
Polymorph energy (0 for the lowest one) (meV per atom): 164
Total energy (eV per formula unit): -16.7
Magnetic moment (Bohr magnetons per cell): 0.2
E_form (eV/f.u.): 0.8
Density (g/cm³): 7.9

a b c (Å): 4.4521 4.4521 2.8332
angles (deg): 90.00 90.00 120.00
Space group P-6m2 (No. 187)
Symmetry-distinct sites (fractional):
Al  0.0000  0.0000  0.0000 x1
Ag  0.3333  0.6667  0.0000 x1
Mo  0.6667  0.3333  0.5000 x1



3.
Entry from Alexandria via LeMat-Bulk: crystalline UTi2P4 at its relaxed geometry (GGA-PBE).

Values from the calculation:
Total energy (eV per formula unit): -54.9
Magnetic moment (Bohr magnetons per cell): 5.1
E_form (eV/f.u.): -6.1
Density (g/cm³): 6.2

a b c (Å): 3.647 11.412 11.760
angles (deg): 90.00 90.00 90.00
Space group Cmcm (No. 63)
Symmetry-distinct sites (fractional):
U  0.000  0.108  0.250 x4
Ti  0.000  0.365  0.055 x8
P  0.000  0.000  0.000 x4
P  0.000  0.264  0.629 x8
P  0.000  0.431  0.250 x4



4.
Entry from Alexandria via LeMat-Bulk: crystalline PaNbW2 at its relaxed geometry (GGA-PBE).

Values from the calculation:
Total energy (eV per formula unit): -44.5
Magnetic moment (Bohr magnetons per cell): 0.0
E_form (eV/f.u.): 1.0
Density (g/cm³): 15.2

a b c (Å): 3.364 3.364 6.679
angles (deg): 90.00 90.00 90.00
Space group P4/mmm (No. 123)
Symmetry-distinct sites (fractional):
Pa  0.000  0.000  0.000 x1
Nb  0.000  0.000  0.500 x1
W  0.500  0.500  0.260 x2



5.
Entry from Alexandria via LeMat-Bulk: crystalline GdTm2Zr at its relaxed geometry (GGA-PBE).

Values from the calculation:
Polymorph energy (0 for the lowest one) (meV per atom): 79
Total energy (eV per formula unit): -31.0
Magnetic moment (Bohr magnetons per cell): 6.6
E_form (eV/f.u.): 0.6
Density (g/cm³): 8.4

a b c (Å): 3.951 3.951 7.380
angles (deg): 90.00 90.00 90.00
Space group P4/mmm (No. 123)
Symmetry-distinct sites (fractional):
Gd  0.000  0.000  0.000 x1
Tm  0.500  0.500  0.277 x2
Zr  0.000  0.000  0.500 x1